Record 1
# PBE-GGA LaAl2Cu4Si, optimized geometry
# Symmetry   R-3m (166)
# Fermi-level density of states   1.5 states/eV/cell
# Raw formation energy   -20 kJ/mol of atoms
# Electronic total energy   -4.488 eV/atom
# M_tot   0.00 μB per formula unit
data_LaAl2Cu4Si
_cell_length_a 9.176
_cell_length_b 9.176
_cell_length_c 9.176
_cell_angle_alpha 26.16
_cell_angle_beta 26.16
_cell_angle_gamma 26.16
_symmetry_space_group_name_H-M 'P 1'
_symmetry_Int_Tables_number 1
_symmetry_space_group_name_Hall 'P 1'
loop_
_atom_site_label
_atom_site_fract_x
_atom_site_fract_y
_atom_site_fract_z
La1 0.000 0.000 0.000
Al1 0.244 0.244 0.244
Al2 0.756 0.756 0.756
Cu1 0.133 0.133 0.133
Cu2 0.411 0.411 0.411
Cu3 0.589 0.589 0.589
Cu4 0.867 0.867 0.867
Si1 0.500 0.500 0.500



Record 2
# PBE-GGA LaSmAlCu, optimized geometry
# Symmetry   F-43m (216)
# Fermi-level density of states   18.0 states/eV/cell
# ΔH_f (0 K)   -0.213 eV/atom
# Electronic total energy   -4.585 eV/atom
# M_tot   0.00 μB per formula unit
data_LaSmAlCu
_cell_length_a 7.398
_cell_length_b 7.398
_cell_length_c 7.398
_cell_angle_alpha 90.00
_cell_angle_beta 90.00
_cell_angle_gamma 90.00
_symmetry_space_group_name_H-M 'P 1'
_symmetry_Int_Tables_number 1
_symmetry_space_group_name_Hall 'P 1'
loop_
_atom_site_label
_atom_site_fract_x
_atom_site_fract_y
_atom_site_fract_z
La1 0.000 0.000 0.000
La2 0.000 0.500 0.500
La3 0.500 0.000 0.500
La4 0.500 0.500 0.000
Sm1 0.000 0.000 0.500
Sm2 0.000 0.500 0.000
Sm3 0.500 0.000 0.000
Sm4 0.500 0.500 0.500
Al1 0.250 0.250 0.750
Al2 0.250 0.750 0.250
Al3 0.750 0.250 0.250
Al4 0.750 0.750 0.750
Cu1 0.250 0.250 0.250
Cu2 0.250 0.750 0.750
Cu3 0.750 0.250 0.750
Cu4 0.750 0.750 0.250